[1]
Density functional theory data (GGA-PBE) for a geometry-optimized ZrCd2Pd structure.

Energy of formation from the pure elements, eV/atom: -0.3134
Space group: No. 139
Uncorrected energy, eV/atom: -4.206

a = 8.6571 Å, b = 8.6571 Å, c = 8.6571 Å
α = 150.21°, β = 150.21°, γ = 42.64°
Closest atoms and distances in Å follow each position.
Fractional positions:
Zr 0.1417 0.1417 0.0000  4 Pd 2.83, 4 Cd 3.15
Zr 0.8583 0.8583 0.0000  4 Pd 2.83, 4 Cd 3.15
Cd 0.0000 0.5000 0.5000  8 Cd 3.11-3.15, 4 Zr 3.19
Cd 0.3657 0.3657 0.0000  4 Pd 2.90, 4 Cd 3.11, 4 Zr 3.15
Cd 0.5000 0.0000 0.5000  8 Cd 3.11-3.15, 4 Zr 3.19
Cd 0.6343 0.6343 0.0000  4 Pd 2.90, 4 Cd 3.11, 4 Zr 3.15
Pd 0.2500 0.7500 0.5000  4 Zr 2.83, 4 Cd 2.90, 4 Pd 3.15
Pd 0.7500 0.2500 0.5000  4 Zr 2.83, 4 Cd 2.90, 4 Pd 3.15

[2]
Density functional theory data (GGA-PBE) for a geometry-optimized MgSc2AlO structure.

Uncorrected formation energy, meV per atom: -1276
Space group: No. 123
Uncorrected energy, eV/atom: -5.868

a = 4.4129 Å, b = 4.4129 Å, c = 4.2949 Å
α = 90.00°, β = 90.00°, γ = 90.00°
Closest atoms and distances in Å follow each position.
Fractional positions:
Mg 0.0000 0.0000 0.0000  2 O 2.15
Sc 0.0000 0.5000 0.5000  2 O 2.21
Sc 0.5000 0.0000 0.5000  2 O 2.21
Al 0.5000 0.5000 0.0000  8 Sc 3.08, 4 Mg 3.12
O 0.0000 0.0000 0.5000  2 Mg 2.15, 4 Sc 2.21

[3]
Density functional theory data (GGA-PBE) for a geometry-optimized Ce3Dy2UP6 structure.

Energy of formation from the pure elements, eV/atom: -1.4443
Space group: No. 12
Uncorrected energy, eV/atom: -7.340

a = 6.9890 Å, b = 6.9890 Å, c = 6.9914 Å
α = 99.58°, β = 99.58°, γ = 120.01°
Closest atoms and distances in Å follow each position.
Fractional positions:
Ce 0.0000 0.0000 0.0000  6 P 2.87-2.92
Ce 0.3319 0.6681 0.0000  6 P 2.87-2.91
Ce 0.6681 0.3319 0.0000  6 P 2.87-2.91
Dy 0.1663 0.8337 0.5000  6 P 2.84
Dy 0.8337 0.1663 0.5000  6 P 2.84
U 0.5000 0.5000 0.5000  6 P 2.79
P 0.0918 0.4195 0.2580  1 U 2.79, 2 Dy 2.84, 3 Ce 2.87-2.91
P 0.2536 0.2536 0.7424  1 U 2.79, 2 Dy 2.84, 3 Ce 2.88-2.92
P 0.4195 0.0918 0.2580  1 U 2.79, 2 Dy 2.84, 3 Ce 2.87-2.91
P 0.5805 0.9082 0.7420  1 U 2.79, 2 Dy 2.84, 3 Ce 2.87-2.91
P 0.7464 0.7464 0.2576  1 U 2.79, 2 Dy 2.84, 3 Ce 2.88-2.92
P 0.9082 0.5805 0.7420  1 U 2.79, 2 Dy 2.84, 3 Ce 2.87-2.91

[4]
Density functional theory data (GGA-PBE) for a geometry-optimized Nb3AlBr structure.

Distance to the lowest polymorph of the same formula, eV per atom: 0.000
Uncorrected formation energy, meV per atom: 1026
Space group: No. 221
Uncorrected energy, eV/atom: -6.099

a = 4.7321 Å, b = 4.7321 Å, c = 4.7321 Å
α = 90.00°, β = 90.00°, γ = 90.00°
Closest atoms and distances in Å follow each position.
Fractional positions:
Nb 0.0000 0.0000 0.5000  2 Br 2.37
Nb 0.0000 0.5000 0.0000  2 Br 2.37
Nb 0.5000 0.0000 0.0000  2 Br 2.37
Al 0.5000 0.5000 0.5000  12 Nb 3.35
Br 0.0000 0.0000 0.0000  6 Nb 2.37